Record 1
The following is a GGA-PBE calculation of a relaxed structure of CsGe3Au2, from the Alexandria database.

Summary:
**Energy of formation from the pure elements**: -0.06 eV/atom
**Total magnetic moment**: 0.0 μB per cell
**Offset from the most stable computed form**: 0.0 meV/atom

Cell lengths 16.4457, 4.8664, 9.1959 Å; angles 90.00, 108.79, 90.00 degrees
Space group C2/m (No. 12)
Symmetry-distinct sites (fractional):
Cs1 0.1393 0.0000 0.0930
Ge1 0.0022 0.0000 0.3631
Ge2 0.1174 0.5000 0.6868
Ge3 0.2203 0.5000 0.4409
Au1 0.0555 0.5000 0.3660
Au2 0.1734 0.0000 0.7191

Record 2
The following is a GGA-PBE calculation of a relaxed structure of Y2MnSb, from the Alexandria database.

Summary:
**ΔE_f (raw)**: -0.50 eV/atom
**Total magnetic moment**: 5.3 μB per cell

Cell lengths 4.3728, 4.1023, 11.3393 Å; angles 90.00, 90.00, 90.00 degrees
Space group Amm2 (No. 38)
Symmetry-distinct sites (fractional):
Y1 0.0000 0.0000 0.0000
Y2 0.5000 0.0000 0.2932
Mn1 0.5000 0.0000 0.5651
Sb1 0.0000 0.0000 0.7162

Record 3
The following is a GGA-PBE calculation of a relaxed structure of Li2VPt2, from the Alexandria database.

Summary:
**Energy of formation from the pure elements**: -0.06 eV/atom
**Total magnetic moment**: 5.1 μB per cell
**Offset from the most stable computed form**: 282.7 meV/atom

Cell lengths 4.2038, 4.2038, 7.9374 Å; angles 90.00, 90.00, 90.00 degrees
Space group I4/mmm (No. 139)
Symmetry-distinct sites (fractional):
Li1 0.0000 0.0000 0.1184
V1 0.0000 0.0000 0.5000
Pt1 0.0000 0.5000 0.2500

Record 4
The following is a GGA-PBE calculation of a relaxed structure of Pr8Dy3Ho4, from the Alexandria database.

Summary:
**Energy of formation from the pure elements**: 0.33 eV/atom
**Total magnetic moment**: 0.0 μB per cell

Cell lengths 13.8918, 12.2597, 6.9215 Å; angles 90.00, 118.29, 90.00 degrees
Space group C2/m (No. 12)
Symmetry-distinct sites (fractional):
Pr1 0.0000 0.2061 0.0000
Pr2 0.0000 0.2539 0.5000
Pr3 0.2044 0.0000 0.1830
Pr4 0.2447 0.5000 0.2777
Dy1 0.0000 0.0000 0.5000
Dy2 0.2500 0.2500 0.5000
Ho1 0.0000 0.5000 0.0000
Ho2 0.0000 0.5000 0.5000
Ho3 0.2500 0.2500 0.0000

Record 5
The following is a GGA-PBE calculation of a relaxed structure of KCoSe2Br, from the Alexandria database.

Summary:
**ΔE_f (raw)**: -0.41 eV/atom
**Total magnetic moment**: 2.9 μB per cell
**Offset from the most stable computed form**: 0.0 meV/atom

Cell lengths 4.6729, 4.6729, 6.0311 Å; angles 90.00, 90.00, 90.00 degrees
Space group P4/mmm (No. 123)
Symmetry-distinct sites (fractional):
K1 0.0000 0.0000 0.0000
Co1 0.5000 0.5000 0.5000
Se1 0.0000 0.5000 0.5000
Br1 0.5000 0.5000 0.0000

Record 6
The following is a GGA-PBE calculation of a relaxed structure of GaRhW3, from the Alexandria database.

Summary:
**Energy of formation from the pure elements**: 1.85 eV/atom
**Total magnetic moment**: 0.0 μB per cell
**Offset from the most stable computed form**: 0.0 meV/atom

Cell lengths 4.5217, 4.5217, 4.5217 Å; angles 90.00, 90.00, 90.00 degrees
Space group Pm-3m (No. 221)
Symmetry-distinct sites (fractional):
Ga1 0.0000 0.0000 0.0000
Rh1 0.5000 0.5000 0.5000
W1 0.0000 0.0000 0.5000

Record 7
The following is a GGA-PBE calculation of a relaxed structure of KHfSiIr2, from the Alexandria database.

Summary:
**ΔE_f (raw)**: 2.65 eV/atom
**Total magnetic moment**: 0.0 μB per cell

Cell lengths 4.6831, 4.6831, 4.7391 Å; angles 90.00, 90.00, 90.00 degrees
Space group P4/mmm (No. 123)
Symmetry-distinct sites (fractional):
K1 0.0000 0.0000 0.0000
Hf1 0.0000 0.0000 0.5000
Si1 0.5000 0.5000 0.5000
Ir1 0.0000 0.5000 0.0000

Record 8
The following is a GGA-PBE calculation of a relaxed structure of DyErMo2N6, from the Alexandria database.

Summary:
**ΔE_f (raw)**: -0.91 eV/atom
**Total magnetic moment**: 0.0 μB per cell

Cell lengths 11.2113, 9.5663, 6.2887 Å; angles 90.00, 112.83, 90.00 degrees
Space group C2/c (No. 15)
Symmetry-distinct sites (fractional):
Dy1 0.0000 0.0892 0.2500
Er1 0.0000 0.2889 0.7500
Mo1 0.2099 0.4105 0.2194
N1 0.1098 0.1101 0.6566
N2 0.1295 0.2456 0.1605
N3 0.1451 0.4828 0.9173

What did the seventh record say?
The following is a GGA-PBE calculation of a relaxed structure of KHfSiIr2, from the Alexandria database.

Summary:
**ΔE_f (raw)**: 2.65 eV/atom
**Total magnetic moment**: 0.0 μB per cell

Cell lengths 4.6831, 4.6831, 4.7391 Å; angles 90.00, 90.00, 90.00 degrees
Space group P4/mmm (No. 123)
Symmetry-distinct sites (fractional):
K1 0.0000 0.0000 0.0000
Hf1 0.0000 0.0000 0.5000
Si1 0.5000 0.5000 0.5000
Ir1 0.0000 0.5000 0.0000

Which value of total magnetic moment does entry 1 give? 0.0 μB per cell

total magnetic moment of number 6 (GaRhW3)? 0.0 μB per cell